Run a
YHoMgCo: relaxed, PBE.

DOS(E_F) = 3.257 states/eV/f.u.

Unit cell a=3.404 b=3.404 c=8.026 alpha=90.00 beta=90.00 gamma=90.00
Space group P4mm (No. 99)
Asymmetric unit:
Y: 0.000 0.000 0.000 x1
Ho: 0.000 0.000 0.404 x1
Mg: 0.500 0.500 0.700 x1
Co: 0.500 0.500 0.206 x1


Run b
YHoMgCo: relaxed, PBE.

DOS(E_F) = 2.294 states/eV/f.u.

Unit cell a=7.095 b=7.095 c=7.095 alpha=90.00 beta=90.00 gamma=90.00
Space group F-43m (No. 216)
Asymmetric unit:
Y: 0.000 0.000 0.000 x4
Ho: 0.000 0.000 0.500 x4
Mg: 0.250 0.250 0.750 x4
Co: 0.250 0.250 0.250 x4


Most stable: run a


Run a
HoMnCo: relaxed, PBE.

DOS(E_F) = 2.809 states/eV/f.u.

Unit cell a=10.236 b=4.350 c=4.805 alpha=90.00 beta=90.00 gamma=90.00
Space group Pnma (No. 62)
Asymmetric unit:
Ho: 0.198 0.250 0.117 x4
Mn: 0.002 0.250 0.648 x4
Co: 0.058 0.750 0.852 x4


Run b
HoMnCo: relaxed, PBE.

DOS(E_F) = 3.517 states/eV/f.u.

Unit cell a=5.193 b=5.285 c=7.045 alpha=90.00 beta=90.00 gamma=90.00
Space group Imma (No. 74)
Asymmetric unit:
Ho: 0.000 0.250 0.120 x4
Mn: 0.000 0.000 0.500 x4
Co: 0.250 0.250 0.750 x4


Most stable: run b


Run a
HoMnCo2: relaxed, PBE.

DOS(E_F) = 3.664 states/eV/f.u.

Unit cell a=4.291 b=4.291 c=3.223 alpha=90.00 beta=90.00 gamma=90.00
Space group P4/mmm (No. 123)
Asymmetric unit:
Ho: 0.000 0.000 0.000 x1
Mn: 0.500 0.500 0.000 x1
Co: 0.000 0.500 0.500 x2


Run b
HoMnCo2: relaxed, PBE.

DOS(E_F) = 4.211 states/eV/f.u.

Unit cell a=4.0112 b=4.0112 c=14.0283 alpha=90.00 beta=90.00 gamma=120.00
Space group R-3m (No. 166, hexagonal axes)
Asymmetric unit:
Ho: 0.0000 0.0000 0.0000 x3
Mn: 0.0000 0.0000 0.5000 x3
Co: 0.0000 0.0000 0.1962 x6


Most stable: run b